# 1
Crystalline SbP2Pt at its relaxed geometry. Source: Alexandria via LeMat-Bulk, functional GGA-PBEsol.

Summary:
ΔE_f (raw)   0.366 eV/atom
Symmetry   No. 216
D(E_F)   1.96 states/eV per cell

Lattice parameters (Å, degrees): 4.571 4.571 4.571 60.00 60.00 60.00
Fractional positions:
1 P 0.500 0.500 0.500
2 P 0.250 0.250 0.250
3 Pt 0.750 0.750 0.750
4 Sb 0.000 0.000 0.000

***

# 2
Crystalline SbPPt2 at its relaxed geometry. Source: Alexandria via LeMat-Bulk, functional GGA-PBEsol.

Summary:
ΔE_f (raw)   -0.185 eV/atom
ΔE to the lowest computed polymorph   0 meV per atom
Symmetry   No. 65
D(E_F)   2.22 states/eV per cell

Lattice parameters (Å, degrees): 3.784 4.393 4.393 103.52 90.00 90.00
Fractional positions:
1 P 0.500 0.000 0.000
2 Pt 0.000 0.788 0.212
3 Pt 0.000 0.212 0.788
4 Sb 0.500 0.500 0.500

***

# 3
Crystalline SbPPt2 at its relaxed geometry. Source: Alexandria via LeMat-Bulk, functional GGA-PBEsol.

Summary:
ΔE_f (raw)   0.082 eV/atom
ΔE to the lowest computed polymorph   267 meV per atom
Symmetry   No. 119
D(E_F)   2.41 states/eV per cell

Lattice parameters (Å, degrees): 3.952 3.952 5.080 112.89 112.89 90.00
Fractional positions:
1 P 0.250 0.750 0.500
2 Pt 0.000 0.000 0.000
3 Pt 0.750 0.250 0.500
4 Sb 0.500 0.500 0.000

***

# 4
Crystalline Sb2PPt at its relaxed geometry. Source: Alexandria via LeMat-Bulk, functional GGA-PBEsol.

Summary:
ΔE_f (raw)   0.313 eV/atom
Symmetry   No. 119
D(E_F)   1.88 states/eV per cell

Lattice parameters (Å, degrees): 3.928 3.928 5.935 109.33 109.33 90.00
Fractional positions:
1 P 0.500 0.500 0.000
2 Pt 0.250 0.750 0.500
3 Sb 0.000 0.000 0.000
4 Sb 0.750 0.250 0.500

***

# 5
Crystalline SbPPt at its relaxed geometry. Source: Alexandria via LeMat-Bulk, functional GGA-PBEsol.

Summary:
ΔE_f (raw)   -0.560 eV/atom
ΔE to the lowest computed polymorph   0 meV per atom
Symmetry   No. 198

Lattice parameters (Å, degrees): 6.075 6.075 6.075 90.00 90.00 90.00
Fractional positions:
1 P 0.619 0.619 0.619
2 P 0.881 0.381 0.119
3 P 0.381 0.119 0.881
4 P 0.119 0.881 0.381
5 Pt 0.020 0.020 0.020
6 Pt 0.480 0.980 0.520
7 Pt 0.980 0.520 0.480
8 Pt 0.520 0.480 0.980
9 Sb 0.380 0.380 0.380
10 Sb 0.120 0.620 0.880
11 Sb 0.620 0.880 0.120
12 Sb 0.880 0.120 0.620

***

# 6
Crystalline Sb2PPt at its relaxed geometry. Source: Alexandria via LeMat-Bulk, functional GGA-PBEsol.

Summary:
ΔE_f (raw)   0.153 eV/atom
Symmetry   No. 123
D(E_F)   1.86 states/eV per cell

Lattice parameters (Å, degrees): 3.318 3.318 7.063 90.00 90.00 90.00
Fractional positions:
1 P 0.500 0.500 0.000
2 Pt 0.500 0.500 0.500
3 Sb 0.000 0.000 0.743
4 Sb 0.000 0.000 0.257